1.
{
  "formula": "Tb2BeZnPd6",
  "functional": "PBE-GGA",
  "state": "relaxed",
  "final_energy_ev_per_atom": -5.1862,
  "magmom_total_mub_per_cell": 0.00,
  "ef_ev_per_atom": -0.644,
  "n_ef_per_ev_atom": 0.340,
  "volume_a3_per_atom": 18.10,
  "crystal_system": "triclinic",
  "spacegroup": "No. 2",
  "cell": [[-3.414, -4.071, 2.325], [5.058, -4.841, -1.079], [3.435, -4.473, 4.402]],
  "species": ["Be", "Tb", "Tb", "Zn", "Pd", "Pd", "Pd", "Pd", "Pd", "Pd"],
  "fractional_positions": [[0.500, 0.500, 0.000], [0.229, 0.667, 0.541], [0.771, 0.333, 0.459], [0.000, 0.000, 0.000], [0.835, 0.807, 0.849], [0.316, 0.807, 0.850], [0.165, 0.193, 0.151], [0.684, 0.193, 0.150], [0.718, 0.671, 0.563], [0.282, 0.329, 0.437]]
}



2.
{
  "formula": "TbBe2ZnPd5",
  "functional": "PBE-GGA",
  "state": "relaxed",
  "final_energy_ev_per_atom": -4.9226,
  "magmom_total_mub_per_cell": 0.00,
  "ef_ev_per_atom": -0.554,
  "n_ef_per_ev_atom": 0.367,
  "volume_a3_per_atom": 15.11,
  "crystal_system": "tetragonal",
  "spacegroup": "No. 123",
  "cell": [[-1.343, -1.794, -3.788], [4.183, -0.325, -1.329], [0.418, -6.390, 2.878]],
  "species": ["Tb", "Be", "Be", "Zn", "Pd", "Pd", "Pd", "Pd", "Pd"],
  "fractional_positions": [[0.000, 0.000, 0.500], [0.500, 0.500, 0.839], [0.500, 0.500, 0.161], [0.000, 0.000, 0.000], [0.500, 0.000, 0.786], [0.500, 0.500, 0.500], [0.000, 0.500, 0.214], [0.500, 0.000, 0.214], [0.000, 0.500, 0.786]]
}



3.
{
  "formula": "Tb3Be2ZnPd9",
  "functional": "PBE-GGA",
  "state": "relaxed",
  "final_energy_ev_per_atom": -5.2771,
  "magmom_total_mub_per_cell": 0.00,
  "ef_ev_per_atom": -0.654,
  "n_ef_per_ev_atom": 0.224,
  "volume_a3_per_atom": 17.90,
  "crystal_system": "trigonal",
  "spacegroup": "No. 164",
  "cell": [[-2.574, 3.035, 4.306], [-2.711, -0.643, -5.160], [-3.905, -7.557, 2.992]],
  "species": ["Zn", "Pd", "Pd", "Pd", "Pd", "Pd", "Pd", "Pd", "Pd", "Pd", "Be", "Be", "Tb", "Tb", "Tb"],
  "fractional_positions": [[0.000, 0.000, 0.500], [0.326, 0.163, 0.708], [0.837, 0.163, 0.708], [0.500, 0.500, 0.000], [0.674, 0.837, 0.292], [0.163, 0.326, 0.292], [0.000, 0.500, 0.000], [0.837, 0.674, 0.708], [0.163, 0.837, 0.292], [0.500, 0.000, 0.000], [0.333, 0.667, 0.152], [0.667, 0.333, 0.848], [0.000, 0.000, 0.000], [0.333, 0.667, 0.661], [0.667, 0.333, 0.339]]
}



4.
{
  "formula": "TbBeZn2Pd4",
  "functional": "PBE-GGA",
  "state": "relaxed",
  "final_energy_ev_per_atom": -4.5684,
  "magmom_total_mub_per_cell": 0.00,
  "ef_ev_per_atom": -0.609,
  "n_ef_per_ev_atom": 0.379,
  "volume_a3_per_atom": 15.84,
  "crystal_system": "trigonal",
  "spacegroup": "No. 166",
  "cell": [[-2.991, -1.307, -2.917], [-3.263, -2.639, 1.244], [-6.374, 4.775, 1.112]],
  "species": ["Zn", "Zn", "Tb", "Pd", "Pd", "Pd", "Pd", "Be"],
  "fractional_positions": [[0.246, 0.246, 0.261], [0.754, 0.754, 0.739], [0.000, 0.000, 0.000], [0.401, 0.401, 0.798], [0.132, 0.132, 0.603], [0.599, 0.599, 0.202], [0.868, 0.868, 0.397], [0.500, 0.500, 0.500]]
}



5.
{
  "formula": "Be17TcPd",
  "functional": "PBE-GGA",
  "state": "relaxed",
  "final_energy_ev_per_atom": -4.3241,
  "magmom_total_mub_per_cell": 0.00,
  "ef_ev_per_atom": -0.171,
  "n_ef_per_ev_atom": 0.181,
  "volume_a3_per_atom": 8.51,
  "crystal_system": "trigonal",
  "spacegroup": "No. 160",
  "cell": [[-1.653, 1.538, 5.002], [4.834, -0.590, 2.530], [1.592, 5.241, -0.334]],
  "species": ["Be", "Be", "Be", "Be", "Be", "Be", "Be", "Be", "Be", "Be", "Be", "Be", "Be", "Be", "Be", "Be", "Be", "Tc", "Pd"],
  "fractional_positions": [[0.840, 0.350, 0.350], [0.898, 0.898, 0.898], [0.999, 0.697, 0.302], [0.697, 0.999, 0.302], [0.350, 0.840, 0.350], [0.302, 0.697, 0.999], [0.350, 0.350, 0.840], [0.990, 0.990, 0.506], [0.102, 0.102, 0.102], [0.159, 0.653, 0.653], [0.990, 0.506, 0.990], [0.302, 0.999, 0.697], [0.506, 0.990, 0.990], [0.697, 0.302, 0.999], [0.999, 0.302, 0.697], [0.653, 0.159, 0.653], [0.653, 0.653, 0.159], [0.662, 0.662, 0.662], [0.349, 0.349, 0.349]]
}



6.
{
  "formula": "BeTcPd",
  "functional": "PBE-GGA",
  "state": "relaxed",
  "final_energy_ev_per_atom": -6.5757,
  "magmom_total_mub_per_cell": 0.00,
  "ef_ev_per_atom": -0.147,
  "relative_energy_ev_per_fu": 0.000,
  "n_ef_per_ev_atom": 0.937,
  "volume_a3_per_atom": 12.45,
  "crystal_system": "tetragonal",
  "spacegroup": "No. 107",
  "cell": [[-1.683, 2.117, 0.324], [-2.094, -1.714, 0.315], [1.659, -0.202, 9.931]],
  "species": ["Pd", "Pd", "Be", "Be", "Tc", "Tc"],
  "fractional_positions": [[0.000, 0.000, 0.163], [0.500, 0.500, 0.663], [0.500, 0.500, 0.304], [0.000, 0.000, 0.804], [0.000, 0.000, 0.460], [0.500, 0.500, 0.960]]
}